1.
CaFeSCl2 | PBE-GGA | relaxed

Geometry as POSCAR:
```
CaFeSCl2
1.0
5.0891 0.0000 0.0000
0.0000 5.0891 0.0000
0.0000 0.0000 5.5563
Ca Cl S Fe
1 2 1 1
Direct
0.0000 0.0000 0.0000
0.5000 0.0000 0.0000
0.0000 0.5000 0.0000
0.0000 0.0000 0.5000
0.5000 0.5000 0.5000
```

Summary:
Calculated total energy   -20.09 eV for the cell shown
Calculated volume   143.9 Å³ per cell
Excess energy over the best structure of this formula in the dataset   640 meV/atom
Uncorrected formation energy   -0.36 eV/atom

2.
IrC3Br | PBE-GGA | relaxed

Geometry as POSCAR:
```
IrC3Br
1.0
-1.8166 2.2385 -2.8483
2.4071 -1.6354 -2.8205
-2.7073 -2.9561 -0.5965
C Ir Br
3 1 1
Direct
0.5000 0.0000 0.0000
0.0000 0.0000 0.5000
0.0000 0.5000 0.0000
0.0000 0.0000 0.0000
0.5000 0.5000 0.5000
```

Summary:
Calculated total energy   -27.56 eV for the cell shown
Calculated volume   66.6 Å³ per cell
Excess energy over the best structure of this formula in the dataset   0 meV/atom
Uncorrected formation energy   2.13 eV/atom

3.
Ac6TbHo2 | PBE-GGA | relaxed

Geometry as POSCAR:
```
Ac6TbHo2
1.0
-8.1576 -1.4879 5.6512
-12.0873 -2.5476 -2.6933
-7.8009 -9.8235 1.5784
Ac Tb Ho
12 2 4
Direct
0.0776 0.0917 0.7066
0.4060 0.3148 0.4467
0.9060 0.4467 0.3148
0.7460 0.3556 0.9147
0.4224 0.2934 0.9083
0.0940 0.5533 0.6852
0.9224 0.9083 0.2934
0.7540 0.0853 0.6444
0.5776 0.7066 0.0917
0.2460 0.9147 0.3556
0.5940 0.6852 0.5533
0.2540 0.6444 0.0853
0.7500 0.8971 0.1029
0.2500 0.1029 0.8971
0.5860 0.8604 0.7035
0.9140 0.2965 0.1396
0.0860 0.7035 0.8604
0.4140 0.1396 0.2965
```

Summary:
Calculated total energy   -73.86 eV for the cell shown
Calculated volume   747.7 Å³ per cell
Energy of formation   0.167 eV per atom

4.
CdTcRh2 | PBE-GGA | relaxed

Geometry as POSCAR:
```
CdTcRh2
1.0
4.7700 0.0136 0.0022
1.3496 4.5751 -0.0022
-3.0597 -2.2944 2.8507
Tc Cd Rh
1 1 2
Direct
0.7500 0.2500 0.5000
0.2500 0.7500 0.5000
0.0000 0.0000 0.0000
0.5000 0.5000 0.0000
```

Summary:
Calculated total energy   -25.45 eV for the cell shown
Calculated volume   62.2 Å³ per cell
Energy of formation   0.134 eV per atom

5.
ZnCu2TcBr | PBE-GGA | relaxed

Geometry as POSCAR:
```
ZnCu2TcBr
1.0
4.4983 0.0000 0.0000
0.0000 5.3101 0.0000
0.0000 0.0000 4.4983
Br Zn Tc Cu
1 1 1 2
Direct
0.0000 0.5000 0.0000
0.0000 0.0000 0.0000
0.5000 0.5000 0.5000
0.0000 0.0000 0.5000
0.5000 0.0000 0.0000
```

Summary:
Calculated total energy   -15.25 eV for the cell shown
Calculated volume   107.4 Å³ per cell
Uncorrected formation energy   1.25 eV/atom

6.
Be2ReP | PBE-GGA | relaxed

Geometry as POSCAR:
```
Be2ReP
1.0
6.2957 0.0000 0.0000
0.0000 6.2957 0.0000
3.1478 3.1478 2.3819
P Re Be
2 2 4
Direct
0.2500 0.7500 0.5000
0.5000 0.5000 0.0000
0.0000 0.0000 0.0000
0.7500 0.2500 0.5000
0.5845 0.1250 0.2500
0.1655 0.6250 0.2500
0.8750 0.8345 0.7500
0.3750 0.4155 0.7500
```

Summary:
Calculated total energy   -47.04 eV for the cell shown
Calculated volume   94.4 Å³ per cell
Energy of formation   0.447 eV per atom
Excess energy over the best structure of this formula in the dataset   598 meV/atom

7.
Gd2SI | PBE-GGA | relaxed

Geometry as POSCAR:
```
Gd2SI
1.0
-2.6218 1.7319 -2.5099
-3.9426 -0.1796 0.7726
-1.7069 6.9830 3.3795
Gd I S
2 1 1
Direct
0.2705 0.2705 0.1884
0.7295 0.7295 0.8116
0.5000 0.5000 0.5000
0.0000 0.0000 0.0000
```

Summary:
Calculated total energy   -39.53 eV for the cell shown
Calculated volume   106.4 Å³ per cell
Uncorrected formation energy   -1.42 eV/atom

8.
Nb2CrOs | PBE-GGA | relaxed

Geometry as POSCAR:
```
Nb2CrOs
1.0
-1.7882 2.7265 4.7226
-2.0636 -4.4684 -2.9512
3.3339 -3.9220 -2.5372
Os Nb Cr
1 2 1
Direct
0.0000 0.5000 0.5000
0.0000 0.2499 0.2499
0.0000 0.7501 0.7501
0.0000 0.0000 0.0000
```

Summary:
Calculated total energy   -37.87 eV for the cell shown
Calculated volume   67.9 Å³ per cell
Energy of formation   0.782 eV per atom

9.
MgZnNi4 | PBE-GGA | relaxed

Geometry as POSCAR:
```
MgZnNi4
1.0
-3.0638 -1.3140 -1.6345
1.3693 -4.8991 1.3718
-2.4688 1.4584 7.6724
Zn Ni Mg
2 8 2
Direct
0.7725 0.2500 0.5449
0.2275 0.7500 0.4551
0.3473 0.0254 0.6945
0.3473 0.4746 0.6945
0.9276 0.2500 0.8552
0.6527 0.9746 0.3055
0.5000 0.5000 0.0000
0.6527 0.5254 0.3055
0.5000 0.0000 0.0000
0.0724 0.7500 0.1448
0.0924 0.2500 0.1847
0.9076 0.7500 0.8153
```

Summary:
Calculated total energy   -52.21 eV for the cell shown
Calculated volume   156.1 Å³ per cell
Energy of formation   -0.019 eV per atom

10.
Ca2CoPb | PBE-GGA | relaxed

Geometry as POSCAR:
```
Ca2CoPb
1.0
-2.4862 4.3853 0.3968
-3.2835 -2.1297 3.2019
4.9627 -0.1985 0.9495
Ca Pb Co
2 1 1
Direct
0.0000 0.0000 0.0000
0.2500 0.7500 0.5000
0.7500 0.2500 0.5000
0.5000 0.5000 0.0000
```

Summary:
Calculated total energy   -14.40 eV for the cell shown
Calculated volume   91.3 Å³ per cell
Energy of formation   0.103 eV per atom

11.
Ce4As2SeBr | PBE-GGA | relaxed

Geometry as POSCAR:
```
Ce4As2SeBr
1.0
-0.8946 3.9171 -1.3284
-6.8703 -2.0418 -1.3942
-4.1361 1.0785 5.9655
As Ce Br Se
2 4 1 1
Direct
0.0000 0.0000 0.0000
0.5000 0.0000 0.5000
0.5000 0.7631 0.2401
0.0000 0.2412 0.2474
0.0000 0.7588 0.7526
0.5000 0.2369 0.7599
0.0000 0.5000 0.5000
0.5000 0.5000 0.0000
```

Summary:
Calculated total energy   -50.11 eV for the cell shown
Calculated volume   213.7 Å³ per cell
Uncorrected formation energy   -1.49 eV/atom

12.
Hf2RePtF | PBE-GGA | relaxed

Geometry as POSCAR:
```
Hf2RePtF
1.0
-3.7521 2.3544 -0.2179
-1.8795 -3.1654 -1.8383
-1.2195 -1.5767 3.9618
Pt Hf Re F
1 2 1 1
Direct
0.5000 0.5000 0.5000
0.5000 0.0000 0.0000
0.0000 0.0000 0.5000
0.0000 0.5000 0.0000
0.0000 0.0000 0.0000
```

Summary:
Calculated total energy   -41.56 eV for the cell shown
Calculated volume   80.9 Å³ per cell
Uncorrected formation energy   -0.26 eV/atom